[1]
ZrCdRe | PBE-GGA | optimized geometry

As for the formation energy: 225 meV per atom. The value obtained for the calculated density is 11542 kg/m3. As for the total energy: -42.475 eV/cell. The value obtained for the energy above the most stable polymorph in this dataset is 0.0366 eV per atom.

It has space group Imm2 (No. 44), with a = 2.759 Å, b = 4.525 Å, c = 8.984 Å, α = 90.00°, β = 90.00° and γ = 90.00°. The distinct sites, in fractional coordinates, are Zr at (0.000, 0.000, 0.000), Cd at (0.000, 0.000, 0.674) and Re at (0.000, 0.000, 0.336).

=====

[2]
CsAgCl2 | PBE-GGA | optimized geometry

The calculation puts the uncorrected formation energy at -469 kJ/mol of formula units. The value obtained for the calculated density is 2577 kg/m3. As for the total energy: -36.764 eV/cell. The value obtained for the energy above the most stable polymorph in this dataset is 0.0138 eV per atom.

It has space group R-3m (No. 166, hexagonal axes), with a = 5.4159 Å, b = 5.4159 Å, c = 23.7142 Å, α = 90.00°, β = 90.00° and γ = 120.00°. The distinct sites, in fractional coordinates, are Cs at (0.0000, 0.0000, 0.0000), Ag at (0.0000, 0.0000, 0.5000) and Cl at (0.0000, 0.0000, 0.4011).

=====

[3]
Tb2SmAg | PBE-GGA | optimized geometry

As for the formation energy: -4 meV per atom. The value obtained for the calculated density is 8068 kg/m3. As for the total energy: -50.535 eV/cell. The value obtained for the energy above the most stable polymorph in this dataset is 0.1269 eV per atom.

It has space group R3m (No. 160, hexagonal axes), with a = 3.6195 Å, b = 3.6195 Å, c = 31.3548 Å, α = 90.00°, β = 90.00° and γ = 120.00°. The distinct sites, in fractional coordinates, are Tb at (0.0000, 0.0000, 0.0000), Tb at (0.0000, 0.0000, 0.1866), Sm at (0.0000, 0.0000, 0.4264) and Ag at (0.0000, 0.0000, 0.5934).